Record 1
# MnRe2Ni

A crystal of MnRe2Ni relaxed with PBEsol (SCAN, Alexandria via LeMat-Bulk).

Structure (extended XYZ):
```
4
Lattice="2.6349 0.0000 0.0000 0.0000 3.6410 0.0000 0.0000 0.0000 5.2242" Properties=species:S:1:pos:R:3 pbc="T T T"
Mn 1.3175 1.8205 0.0000
Ni 1.3175 1.8205 2.6121
Re 0.0000 0.0000 3.9520
Re 0.0000 0.0000 1.2721
```

Offset from the most stable computed form   0.263 eV/f.u.
Crystal system   orthorhombic
Formation energy   0.06 eV/atom
Symmetry   Pmmm, No. 47
Energy   -44.10 eV per atom

=====

Record 2
# Rb2HI

A crystal of Rb2HI relaxed with PBEsol (SCAN, Alexandria via LeMat-Bulk).

Structure (extended XYZ):
```
8
Lattice="7.3616 0.0699 0.1126 -2.7764 6.8183 -0.1126 -2.7764 -3.1220 6.0626" Properties=species:S:1:pos:R:3 pbc="T T T"
I 0.0000 0.0000 0.0000
I 0.9044 4.3682 1.4875
H -2.7764 1.8481 2.9750
H 0.9044 -0.6020 4.5751
Rb 4.9145 3.3931 0.8000
Rb -1.7175 -0.5509 3.7750
Rb 1.9633 1.1782 2.7788
Rb -1.5428 3.5120 4.7712
```

Crystal system   tetragonal
Symmetry   I-42d, No. 122
Energy   -21.32 eV per atom

=====

Record 3
# InHg5

A crystal of InHg5 relaxed with PBEsol (SCAN, Alexandria via LeMat-Bulk).

Structure (extended XYZ):
```
6
Lattice="-0.2905 -3.3302 0.1196 3.2936 -0.3052 -0.4975 1.9177 0.2824 12.5230" Properties=species:S:1:pos:R:3 pbc="T T T"
Hg 1.5927 0.2345 10.4007
Hg 0.3250 0.0479 2.1224
Hg 2.7780 -1.6297 8.1465
Hg 2.1428 -1.7232 3.9986
Hg 0.9589 0.1412 6.2615
In 1.5016 -1.8177 -0.1890
```

Offset from the most stable computed form   0.076 eV/f.u.
Crystal system   tetragonal
Formation energy   0.03 eV/atom
Symmetry   P4/mmm, No. 123
Energy   -62.34 eV per atom

=====

| no. | density of states at the Fermi level (states/eV/f.u.) |
| --- | --- |
| 1 | 3.018 |
| 2 | 0.000 |
| 3 | 1.726 |